# 1
The following is a DFT calculation (SCAN) of YFeSb2Te at its PBEsol-relaxed geometry.

POSCAR file:
```
YFeSb2Te
1.0
4.7348 0.0000 0.0000
0.0000 4.7348 0.0000
0.0000 0.0000 5.5807
Y Fe Sb Te
1 1 2 1
Cartesian
0.0000 0.0000 0.0000
2.3674 2.3674 2.7904
0.0000 2.3674 2.7904
2.3674 0.0000 2.7904
2.3674 2.3674 0.0000
```

Properties
Formation energy without anion corrections in eV per atom: -0.004
SG: P4/mmm (123)
Density of states at the Fermi level in states/eV/f.u.: 3.95
M_tot in μB/atom: 0.42
ρ in kg/m³: 6847
Energy in eV for the cell shown: -157.77


# 2
The following is a DFT calculation (SCAN) of Dy3Ge2Rh2 at its PBEsol-relaxed geometry.

POSCAR file:
```
Dy3Ge2Rh2
1.0
5.5058 0.0000 0.0000
0.0000 7.6777 0.0000
0.0000 0.0000 13.0721
Dy Ge Rh
12 8 8
Cartesian
0.7158 1.8372 3.2680
0.7158 2.0017 9.8041
1.9526 4.6355 1.3034
1.9526 4.6355 5.2327
1.9526 6.8811 7.8394
1.9526 6.8811 11.7687
3.5532 0.7966 1.3034
3.5532 0.7966 5.2327
3.5532 3.0422 7.8394
3.5532 3.0422 11.7687
4.7900 5.6760 3.2680
4.7900 5.8405 9.8041
0.9113 1.9194 0.0000
0.9113 1.9194 6.5360
2.0464 4.7007 9.8041
2.0464 6.8158 3.2680
3.4595 0.8619 9.8041
3.4595 2.9770 3.2680
4.5945 5.7583 0.0000
4.5945 5.7583 6.5360
0.6926 4.1743 7.7428
0.6926 4.1743 11.8653
0.6926 7.3423 1.2067
0.6926 7.3423 5.3293
4.8132 0.3354 7.7428
4.8132 0.3354 11.8653
4.8132 3.5034 1.2067
4.8132 3.5034 5.3293
```

Properties
SG: Pbcm (57)
Density of states at the Fermi level in states/eV/f.u.: 4.03
Calculated formation energy in meV/atom: -1063
M_tot in μB/atom: 0.00
ρ in kg/m³: 10080
Energy in eV for the cell shown: -1026.19